(1)
Computed, not measured: a relaxed Ta2OsPd crystal at the PBE level of DFT.

Cell: 7.1538 7.1538 5.7819 Å, 51.78 51.78 90.00°
With the nearest neighbours (Å) after each atom.
Atoms (fractional coordinates):
Ta  0.3750  0.3615  0.7500  2 Os 2.56, 2 Pd 2.69, 2 Ta 2.81
Ta  0.8750  0.8885  0.7500  2 Os 2.56, 2 Pd 2.69, 2 Ta 2.81
Ta  0.1115  0.6250  0.2500  2 Os 2.56, 2 Pd 2.69, 2 Ta 2.81
Ta  0.6385  0.1250  0.2500  2 Os 2.56, 2 Pd 2.69, 2 Ta 2.81
Os  0.7500  0.2500  0.5000  4 Ta 2.56, 2 Pd 2.80
Os  0.0000  0.0000  0.0000  4 Ta 2.56, 2 Pd 2.80
Pd  0.2500  0.7500  0.5000  4 Ta 2.69, 2 Os 2.80
Pd  0.5000  0.5000  0.0000  4 Ta 2.69, 2 Os 2.80

Total magnetic moment, Bohr magnetons per cell: 0.0
Calculated volume, Å³/cell: 143.31
Energy, eV/atom: -9.716

=====

(2)
Computed, not measured: a relaxed Ta2OsPd crystal at the PBE level of DFT.

Cell: 2.9288 2.9288 7.6941 Å, 90.00 90.00 90.00°
With the nearest neighbours (Å) after each atom.
Atoms (fractional coordinates):
Os  0.5000  0.5000  0.0000  8 Ta 2.75, 4 Os 2.93
Ta  0.0000  0.0000  0.7658  4 Os 2.75, 4 Pd 2.91, 4 Ta 2.93
Ta  0.0000  0.0000  0.2342  4 Os 2.75, 4 Pd 2.91, 4 Ta 2.93
Pd  0.5000  0.5000  0.5000  8 Ta 2.91, 4 Pd 2.93

Total magnetic moment, Bohr magnetons per cell: 0.0
Calculated volume, Å³/cell: 66.00
Energy, eV/atom: -10.300

=====

(3)
Computed, not measured: a relaxed Ta2OsPd2 crystal at the PBE level of DFT.

Cell: 3.9056 3.9056 6.4987 Å, 72.51 72.51 90.00°
With the nearest neighbours (Å) after each atom.
Atoms (fractional coordinates):
Ta  0.2500  0.7500  0.5000  4 Pd 2.62, 4 Ta 2.76
Ta  0.7500  0.2500  0.5000  4 Pd 2.62, 4 Ta 2.76
Pd  0.3984  0.3984  0.2033  1 Pd 2.39, 4 Ta 2.62
Pd  0.6016  0.6016  0.7967  1 Pd 2.39, 4 Ta 2.62
Os  0.0000  0.0000  0.0000  8 Pd 3.01

Total magnetic moment, Bohr magnetons per cell: 1.0
Calculated volume, Å³/cell: 89.73
Relative energy among the computed polymorphs, meV per atom: 731
Energy, eV/atom: -8.288

=====

(4)
Computed, not measured: a relaxed Ta3OsPd crystal at the PBE level of DFT.

Cell: 4.8101 4.8101 4.8101 Å, 90.00 90.00 90.00°
With the nearest neighbours (Å) after each atom.
Atoms (fractional coordinates):
Ta  0.0000  0.5000  0.0000  2 Os 2.41
Ta  0.0000  0.0000  0.5000  2 Os 2.41
Ta  0.5000  0.0000  0.0000  2 Os 2.41
Os  0.0000  0.0000  0.0000  6 Ta 2.41
Pd  0.5000  0.5000  0.5000  12 Ta 3.40

Total magnetic moment, Bohr magnetons per cell: 0.0
Calculated volume, Å³/cell: 111.29
Relative energy among the computed polymorphs, meV per atom: 0
Energy, eV/atom: -9.256

=====

(5)
Computed, not measured: a relaxed TaOs2Pd crystal at the PBE level of DFT.

Cell: 3.8627 3.8627 9.5890 Å, 78.38 78.38 90.00°
With the nearest neighbours (Å) after each atom.
Atoms (fractional coordinates):
Os  0.1750  0.6250  0.2500  2 Os 2.47, 2 Pd 2.61, 2 Ta 2.75
Os  0.8750  0.8250  0.7500  2 Os 2.47, 2 Pd 2.61, 2 Ta 2.75
Os  0.5750  0.1250  0.2500  2 Os 2.47, 2 Pd 2.61, 2 Ta 2.75
Os  0.3750  0.4250  0.7500  2 Os 2.47, 2 Pd 2.61, 2 Ta 2.75
Pd  0.5000  0.5000  0.0000  4 Os 2.61, 4 Ta 2.73
Pd  0.2500  0.7500  0.5000  4 Os 2.61, 4 Ta 2.73
Ta  0.7500  0.2500  0.5000  4 Pd 2.73, 4 Os 2.75
Ta  0.0000  0.0000  0.0000  4 Pd 2.73, 4 Os 2.75

Total magnetic moment, Bohr magnetons per cell: 0.0
Calculated volume, Å³/cell: 137.15
Relative energy among the computed polymorphs, meV per atom: 728
Energy, eV/atom: -9.336

=====

(6)
Computed, not measured: a relaxed TaTeOsPd2 crystal at the PBE level of DFT.

Cell: 4.9155 4.7426 4.9155 Å, 90.00 90.00 90.00°
With the nearest neighbours (Å) after each atom.
Atoms (fractional coordinates):
Ta  0.0000  0.5000  0.0000  2 Os 2.37
Pd  0.0000  0.0000  0.5000  2 Os 2.46
Pd  0.5000  0.0000  0.0000  2 Os 2.46
Te  0.5000  0.5000  0.5000  8 Pd 3.42, 4 Ta 3.48
Os  0.0000  0.0000  0.0000  2 Ta 2.37, 4 Pd 2.46

Formation energy (no corrections), eV per atom: 1.065
Total magnetic moment, Bohr magnetons per cell: 0.0
Calculated volume, Å³/cell: 114.59
Energy, eV/atom: -6.257